First-principles (PBE) data for a relaxed B2PbCl crystal, as listed in Alexandria via LeMat-Bulk.

Output
The energy is -26.33 eV for the cell shown. As for the crystal system: tetragonal. The space group is I-42d. The excess energy over the best structure of this formula in the dataset comes out at 0 meV/atom.

abc: 6.846 6.846 6.846
angles: 134.53 134.53 66.26
Element x y z (fractional)
B1 0.123 0.625 0.998
B2 0.375 0.373 0.498
B3 0.627 0.125 0.002
B4 0.875 0.877 0.502
Pb1 0.250 0.750 0.500
Pb2 0.500 0.500 0.000
Cl1 0.000 0.000 0.000
Cl2 0.750 0.250 0.500

---

First-principles (PBE) data for a relaxed BPbCl2 crystal, as listed in Alexandria via LeMat-Bulk.

Output
The energy is -13.22 eV for the cell shown. As for the crystal system: trigonal. The space group is R-3m. The excess energy over the best structure of this formula in the dataset comes out at 0 meV/atom.

abc: 10.847 10.847 10.847
angles: 17.81 17.81 17.81
Element x y z (fractional)
B1 0.000 0.000 0.000
Pb1 0.500 0.500 0.500
Cl1 0.052 0.052 0.052
Cl2 0.948 0.948 0.948

---

First-principles (PBE) data for a relaxed BPbS2Cl crystal, as listed in Alexandria via LeMat-Bulk.

Output
The energy is -46.73 eV for the cell shown. As for the crystal system: monoclinic. The space group is P2_1/m. The excess energy over the best structure of this formula in the dataset comes out at 0 meV/atom.

abc: 6.673 6.504 6.736
angles: 90.00 105.20 90.00
Element x y z (fractional)
B1 0.024 0.250 0.138
B2 0.976 0.750 0.862
Pb1 0.189 0.250 0.693
Pb2 0.811 0.750 0.307
S1 0.118 0.750 0.125
S2 0.122 0.750 0.666
S3 0.878 0.250 0.334
S4 0.882 0.250 0.875
Cl1 0.304 0.250 0.219
Cl2 0.696 0.750 0.781

---

First-principles (PBE) data for a relaxed BPbSCl2 crystal, as listed in Alexandria via LeMat-Bulk.

Output
The energy is -17.89 eV for the cell shown. As for the crystal system: tetragonal. The space group is P4/mmm. The excess energy over the best structure of this formula in the dataset comes out at 0 meV/atom.

abc: 5.462 5.462 3.762
angles: 90.00 90.00 90.00
Element x y z (fractional)
B1 0.000 0.000 0.000
Pb1 0.500 0.500 0.500
S1 0.000 0.000 0.500
Cl1 0.000 0.500 0.000
Cl2 0.500 0.000 0.000

---

First-principles (PBE) data for a relaxed BPbSCl2 crystal, as listed in Alexandria via LeMat-Bulk.

Output
The energy is -14.43 eV for the cell shown. As for the crystal system: tetragonal. The space group is P4/mmm. The excess energy over the best structure of this formula in the dataset comes out at 692 meV/atom.

abc: 5.477 5.477 5.367
angles: 90.00 90.00 90.00
Element x y z (fractional)
B1 0.000 0.000 0.000
Pb1 0.500 0.500 0.500
S1 0.500 0.500 0.000
Cl1 0.000 0.500 0.500
Cl2 0.500 0.000 0.500

---

First-principles (PBE) data for a relaxed BPbS2Cl crystal, as listed in Alexandria via LeMat-Bulk.

Output
The energy is -14.83 eV for the cell shown. As for the crystal system: tetragonal. The space group is P4/mmm. The excess energy over the best structure of this formula in the dataset comes out at 1706 meV/atom.

abc: 5.245 5.245 5.453
angles: 90.00 90.00 90.00
Element x y z (fractional)
B1 0.000 0.000 0.000
Pb1 0.500 0.500 0.500
S1 0.000 0.500 0.500
S2 0.500 0.000 0.500
Cl1 0.500 0.500 0.000

---

First-principles (PBE) data for a relaxed BPbS2Cl crystal, as listed in Alexandria via LeMat-Bulk.

Output
The energy is -19.67 eV for the cell shown. As for the crystal system: tetragonal. The space group is P4/mmm. The excess energy over the best structure of this formula in the dataset comes out at 739 meV/atom.

abc: 4.307 4.307 4.976
angles: 90.00 90.00 90.00
Element x y z (fractional)
B1 0.000 0.000 0.000
Pb1 0.500 0.500 0.500
S1 0.000 0.500 0.000
S2 0.500 0.000 0.000
Cl1 0.000 0.000 0.500

---

First-principles (PBE) data for a relaxed Si2BPbCl crystal, as listed in Alexandria via LeMat-Bulk.

Output
The energy is -20.55 eV for the cell shown. As for the crystal system: tetragonal. The space group is P4/mmm.

abc: 4.191 4.191 6.008
angles: 90.00 90.00 90.00
Element x y z (fractional)
Si1 0.000 0.500 0.000
Si2 0.500 0.000 0.000
B1 0.000 0.000 0.000
Pb1 0.000 0.000 0.500
Cl1 0.500 0.500 0.500

---

First-principles (PBE) data for a relaxed Sr2BPbCl crystal, as listed in Alexandria via LeMat-Bulk.

Output
The energy is -13.73 eV for the cell shown. As for the crystal system: tetragonal. The space group is P4/mmm.

abc: 5.636 5.636 5.442
angles: 90.00 90.00 90.00
Element x y z (fractional)
Sr1 0.000 0.500 0.000
Sr2 0.500 0.000 0.000
B1 0.000 0.000 0.500
Pb1 0.500 0.500 0.500
Cl1 0.500 0.500 0.000

---

First-principles (PBE) data for a relaxed Ti2BPbCl crystal, as listed in Alexandria via LeMat-Bulk.

Output
The energy is -26.07 eV for the cell shown. As for the crystal system: tetragonal. The space group is P4/mmm.

abc: 4.585 4.585 4.728
angles: 90.00 90.00 90.00
Element x y z (fractional)
Ti1 0.000 0.500 0.000
Ti2 0.500 0.000 0.000
B1 0.000 0.000 0.000
Pb1 0.000 0.000 0.500
Cl1 0.500 0.500 0.500

---

First-principles (PBE) data for a relaxed TlB2PbCl8 crystal, as listed in Alexandria via LeMat-Bulk.

Output
The energy is -44.05 eV for the cell shown. As for the crystal system: trigonal. The space group is R-3.

abc: 10.712 10.712 10.712
angles: 34.06 34.06 34.06
Element x y z (fractional)
Tl1 0.000 0.000 0.000
B1 0.259 0.259 0.259
B2 0.741 0.741 0.741
Pb1 0.500 0.500 0.500
Cl1 0.021 0.463 0.801
Cl2 0.199 0.979 0.537
Cl3 0.320 0.320 0.320
Cl4 0.463 0.801 0.021
Cl5 0.537 0.199 0.979
Cl6 0.680 0.680 0.680
Cl7 0.801 0.021 0.463
Cl8 0.979 0.537 0.199

---

First-principles (PBE) data for a relaxed VBPb2Cl crystal, as listed in Alexandria via LeMat-Bulk.

Output
The energy is -18.32 eV for the cell shown. As for the crystal system: tetragonal. The space group is P4/mmm.

abc: 5.649 5.649 4.356
angles: 90.00 90.00 90.00
Element x y z (fractional)
V1 0.000 0.000 0.000
B1 0.500 0.500 0.000
Pb1 0.000 0.500 0.500
Pb2 0.500 0.000 0.500
Cl1 0.000 0.000 0.500

---

no.,raw formation energy (eV per atom),calculated volume (Å³/cell)
1,1.437,160.5
2,0.214,104.2
3,-0.575,282.2
4,0.063,112.2
5,0.755,161.0
6,1.131,150.0
7,0.164,92.3
8,0.506,105.5
9,0.373,172.9
10,0.390,99.4
11,-0.821,343.7
12,1.347,139.0